1.
An optimized crystal structure of FeHRh3. Source: Alexandria via LeMat-Bulk, functional PBE-GGA.

Properties
offset from the most stable computed form	0.253	eV/atom
raw total energy	-6.570	eV per atom
magnetization	0.00	μB/f.u.
theoretical density	10.58	Mg/m³

Cell lengths 10.0315, 8.8187, 5.3827 Å; angles 90.00, 105.45, 90.00 degrees
Space group C2/c (No. 15)
Unique sites:
Fe 0.0000 0.9997 0.2500 (multiplicity 4)
Fe 0.0000 0.4067 0.2500 (multiplicity 4)
H 0.1007 0.4292 0.8108 (multiplicity 8)
Rh 0.1323 0.2052 0.5654 (multiplicity 8)
Rh 0.1326 0.2095 0.0648 (multiplicity 8)
Rh 0.2146 0.4965 0.6097 (multiplicity 8)

***

2.
An optimized crystal structure of FeH2Rh2. Source: Alexandria via LeMat-Bulk, functional PBE-GGA.

Properties
offset from the most stable computed form	0.114	eV/atom
raw total energy	-5.880	eV per atom
magnetization	4.10	μB/f.u.
theoretical density	9.06	Mg/m³

Cell lengths 5.7753, 5.7753, 2.8968 Å; angles 90.00, 90.00, 90.00 degrees
Space group P4/mbm (No. 127)
Unique sites:
Fe 0.0000 0.0000 0.0000 (multiplicity 2)
H 0.2040 0.2960 0.0000 (multiplicity 4)
Rh 0.1656 0.6656 0.5000 (multiplicity 4)

***

3.
An optimized crystal structure of FeHRh3. Source: Alexandria via LeMat-Bulk, functional PBE-GGA.

Properties
offset from the most stable computed form	1.196	eV/atom
raw total energy	-5.627	eV per atom
magnetization	4.47	μB/f.u.
theoretical density	6.58	Mg/m³

Cell lengths 4.5796, 4.5796, 17.5920 Å; angles 90.00, 90.00, 90.00 degrees
Space group I-4m2 (No. 119)
Unique sites:
Fe 0.0000 0.0000 0.0000 (multiplicity 2)
Fe 0.0000 0.5000 0.2500 (multiplicity 2)
H 0.0000 0.5000 0.6443 (multiplicity 4)
Rh 0.0000 0.0000 0.3408 (multiplicity 4)
Rh 0.0000 0.2453 0.1253 (multiplicity 8)

***

4.
An optimized crystal structure of FeHRh3. Source: Alexandria via LeMat-Bulk, functional PBE-GGA.

Properties
offset from the most stable computed form	0.791	eV/atom
raw total energy	-6.033	eV per atom
magnetization	0.00	μB/f.u.
theoretical density	7.49	Mg/m³

Cell lengths 2.6250, 5.4726, 11.2903 Å; angles 90.00, 90.00, 90.00 degrees
Space group Amm2 (No. 38)
Unique sites:
Fe 0.0000 0.0000 0.0000 (multiplicity 2)
H 0.5000 0.0000 0.6106 (multiplicity 2)
Rh 0.0000 0.2465 0.6570 (multiplicity 4)
Rh 0.5000 0.0000 0.8225 (multiplicity 2)

***

5.
An optimized crystal structure of FeHRh3. Source: Alexandria via LeMat-Bulk, functional PBE-GGA.

Properties
offset from the most stable computed form	0.142	eV/atom
raw total energy	-6.681	eV per atom
magnetization	0.00	μB/f.u.
theoretical density	10.94	Mg/m³

Cell lengths 4.6591, 4.6793, 5.4114 Å; angles 72.86, 89.91, 80.32 degrees
Space group P-1 (No. 2)
Unique sites:
Fe 0.1175 0.2396 0.4497 (multiplicity 2)
H 0.2436 0.4680 0.1589 (multiplicity 2)
Rh 0.1275 0.2540 0.9262 (multiplicity 2)
Rh 0.3653 0.7538 0.3224 (multiplicity 2)
Rh 0.3685 0.7662 0.7988 (multiplicity 2)

***

6.
An optimized crystal structure of FeHRh3. Source: Alexandria via LeMat-Bulk, functional PBE-GGA.

Properties
offset from the most stable computed form	0.193	eV/atom
raw total energy	-6.630	eV per atom
magnetization	3.51	μB/f.u.
theoretical density	10.18	Mg/m³

Cell lengths 3.7375, 8.6030, 7.4170 Å; angles 90.00, 90.00, 90.00 degrees
Space group Cmcm (No. 63)
Unique sites:
Fe 0.0000 0.2423 0.2500 (multiplicity 4)
H 0.0000 0.4742 0.2500 (multiplicity 4)
Rh 0.0000 0.0563 0.7500 (multiplicity 4)
Rh 0.0000 0.3567 0.5598 (multiplicity 8)

***

7.
An optimized crystal structure of FeHRh. Source: Alexandria via LeMat-Bulk, functional PBE-GGA.

Properties
raw total energy	-6.395	eV per atom
magnetization	3.22	μB/f.u.
theoretical density	9.19	Mg/m³

Cell lengths 9.0661, 2.7675, 4.7205 Å; angles 90.00, 102.79, 90.00 degrees
Space group Cm (No. 8)
Unique sites:
Fe 0.0000 0.0000 0.0000 (multiplicity 2)
Fe 0.2288 0.5000 0.2461 (multiplicity 2)
H 0.1112 0.0000 0.3952 (multiplicity 2)
H 0.3597 0.5000 0.6318 (multiplicity 2)
Rh 0.2472 0.0000 0.7851 (multiplicity 2)
Rh 0.4814 0.0000 0.4850 (multiplicity 2)

***

8.
An optimized crystal structure of Fe2H2Rh3. Source: Alexandria via LeMat-Bulk, functional PBE-GGA.

Properties
offset from the most stable computed form	0.000	eV/atom
raw total energy	-6.451	eV per atom
magnetization	6.23	μB/f.u.
theoretical density	9.48	Mg/m³

Cell lengths 9.1444, 2.7135, 6.6424 Å; angles 90.00, 116.10, 90.00 degrees
Space group C2/m (No. 12)
Unique sites:
Fe 0.1660 0.0000 0.3035 (multiplicity 4)
H 0.1558 0.0000 0.5785 (multiplicity 4)
Rh 0.0000 0.5000 0.5000 (multiplicity 2)
Rh 0.1176 0.5000 0.9428 (multiplicity 4)